Compound: Rb4Ac3ThSe8
Source: Alexandria
Functional: PBE
Structure: optimized geometry

Crystal system ... trigonal
Energy relative to the elements, uncorrected ... -1.7187 eV/atom

Structure (extended XYZ):
```
16
Lattice="4.5304 2.6156 8.0499 -4.5304 2.6156 8.0499 0.0000 -5.2313 8.0499" Properties=species:S:1:pos:R:3 pbc="T T T"
Rb 0.0000 0.0000 0.0000
Rb -2.2652 -1.3078 8.0499
Rb -2.2652 1.3078 16.0998
Rb 0.0000 2.6156 8.0499
Ac -4.5304 0.0000 12.0748
Ac -2.2652 1.3078 4.0249
Ac 2.2652 1.3078 4.0250
Th 0.0000 0.0000 12.0749
Se 0.0000 0.0000 5.7376
Se -2.1523 -1.2427 13.7253
Se 0.0000 -2.4853 10.4244
Se -2.1523 1.2427 10.4244
Se 2.1524 -1.2427 13.7252
Se 0.0000 2.4853 13.7252
Se 2.1523 1.2427 10.4245
Se 0.0000 0.0000 18.4121
```